No. 1
VASP calculation (PBE-GGA) on an optimized crystal structure of La2YPdO5.

Cell lengths 6.704, 6.704, 5.927 Å; angles 90.00, 90.00, 90.00 degrees
Fractional coordinates of all 18 atoms:
La (0.163, 0.337, 0.000)
La (0.337, 0.837, 0.000)
La (0.663, 0.163, 0.000)
La (0.837, 0.663, 0.000)
Y (0.000, 0.000, 0.500)
Y (0.500, 0.500, 0.500)
Pd (0.000, 0.500, 0.500)
Pd (0.500, 0.000, 0.500)
O (0.000, 0.000, 0.000)
O (0.172, 0.672, 0.270)
O (0.172, 0.672, 0.730)
O (0.328, 0.172, 0.270)
O (0.328, 0.172, 0.730)
O (0.500, 0.500, 0.000)
O (0.672, 0.828, 0.270)
O (0.672, 0.828, 0.730)
O (0.828, 0.328, 0.270)
O (0.828, 0.328, 0.730)

Properties
M_tot, μB/f.u.: 1.00
Space group: P4/mbm
Uncorrected formation energy, meV per atom: -2434
Density of states at the Fermi level, states/eV per atom: 0.064

=====

No. 2
VASP calculation (PBE-GGA) on an optimized crystal structure of La2YPdO.

Cell lengths 5.079, 5.079, 4.589 Å; angles 90.00, 90.00, 90.00 degrees
Fractional coordinates of all 5 atoms:
La (0.000, 0.500, 0.000)
La (0.500, 0.000, 0.000)
Y (0.000, 0.000, 0.500)
Pd (0.500, 0.500, 0.500)
O (0.000, 0.000, 0.000)

Properties
M_tot, μB/f.u.: 0.00
Space group: P4/mmm
Uncorrected formation energy, meV per atom: -1321
Density of states at the Fermi level, states/eV per atom: 1.017

=====

No. 3
VASP calculation (PBE-GGA) on an optimized crystal structure of LaPmO2.

Cell lengths 6.450, 6.450, 6.450 Å; angles 32.05, 32.05, 32.05 degrees
Fractional coordinates of all 4 atoms:
La (0.000, 0.000, 0.000)
Pm (0.177, 0.177, 0.177)
O (0.582, 0.582, 0.582)
O (0.761, 0.761, 0.761)

Properties
M_tot, μB/f.u.: 0.00
Space group: R3m
Uncorrected formation energy, meV per atom: -2680
Density of states at the Fermi level, states/eV per atom: 0.125

=====

No. 4
VASP calculation (PBE-GGA) on an optimized crystal structure of LaPm3O6.

Cell lengths 7.034, 7.034, 7.034 Å; angles 91.30, 91.30, 91.30 degrees
Fractional coordinates of all 20 atoms:
La (0.000, 0.000, 0.000)
La (0.500, 0.500, 0.500)
Pm (0.052, 0.751, 0.560)
Pm (0.249, 0.440, 0.948)
Pm (0.440, 0.948, 0.249)
Pm (0.560, 0.052, 0.751)
Pm (0.751, 0.560, 0.052)
Pm (0.948, 0.249, 0.440)
O (0.024, 0.677, 0.893)
O (0.107, 0.976, 0.323)
O (0.180, 0.430, 0.602)
O (0.323, 0.107, 0.976)
O (0.398, 0.820, 0.570)
O (0.430, 0.602, 0.180)
O (0.570, 0.398, 0.820)
O (0.602, 0.180, 0.430)
O (0.677, 0.893, 0.024)
O (0.820, 0.570, 0.398)
O (0.893, 0.024, 0.677)
O (0.976, 0.323, 0.107)

Properties
M_tot, μB/f.u.: 0.00
Space group: R-3
Uncorrected formation energy, meV per atom: -3387
Density of states at the Fermi level, states/eV per atom: 0.000

=====

No. 5
VASP calculation (PBE-GGA) on an optimized crystal structure of La4Pm2O.

Cell lengths 9.531, 9.531, 9.531 Å; angles 149.05, 149.05, 44.34 degrees
Fractional coordinates of all 7 atoms:
La (0.000, 0.500, 0.500)
La (0.141, 0.141, 0.000)
La (0.500, 0.000, 0.500)
La (0.859, 0.859, 0.000)
Pm (0.348, 0.348, 0.000)
Pm (0.652, 0.652, 0.000)
O (0.000, 0.000, 0.000)

Properties
M_tot, μB/f.u.: 0.00
Space group: I4/mmm
Uncorrected formation energy, meV per atom: -643
Density of states at the Fermi level, states/eV per atom: 1.410

=====

No. 6
VASP calculation (PBE-GGA) on an optimized crystal structure of La3PmO4.

Cell lengths 6.293, 7.190, 6.277 Å; angles 90.00, 109.30, 90.00 degrees
Fractional coordinates of all 16 atoms:
La (0.000, 0.125, 0.250)
La (0.000, 0.375, 0.750)
La (0.000, 0.625, 0.250)
La (0.000, 0.875, 0.750)
La (0.500, 0.125, 0.750)
La (0.500, 0.875, 0.250)
Pm (0.500, 0.375, 0.250)
Pm (0.500, 0.625, 0.750)
O (0.258, 0.131, 0.006)
O (0.258, 0.869, 0.506)
O (0.263, 0.381, 0.502)
O (0.263, 0.619, 0.002)
O (0.737, 0.381, 0.998)
O (0.737, 0.619, 0.498)
O (0.742, 0.131, 0.494)
O (0.742, 0.869, 0.994)

Properties
M_tot, μB/f.u.: 0.00
Space group: P2/c
Uncorrected formation energy, meV per atom: -2838
Density of states at the Fermi level, states/eV per atom: 0.423

=====

No. 7
VASP calculation (PBE-GGA) on an optimized crystal structure of La3PmO6.

Cell lengths 7.142, 7.142, 7.142 Å; angles 91.64, 91.64, 91.64 degrees
Fractional coordinates of all 20 atoms:
La (0.054, 0.561, 0.751)
La (0.249, 0.946, 0.439)
La (0.439, 0.249, 0.946)
La (0.561, 0.751, 0.054)
La (0.751, 0.054, 0.561)
La (0.946, 0.439, 0.249)
Pm (0.000, 0.000, 0.000)
Pm (0.500, 0.500, 0.500)
O (0.031, 0.900, 0.686)
O (0.100, 0.314, 0.969)
O (0.187, 0.592, 0.436)
O (0.314, 0.969, 0.100)
O (0.408, 0.564, 0.813)
O (0.436, 0.187, 0.592)
O (0.564, 0.813, 0.408)
O (0.592, 0.436, 0.187)
O (0.686, 0.031, 0.900)
O (0.813, 0.408, 0.564)
O (0.900, 0.686, 0.031)
O (0.969, 0.100, 0.314)

Properties
M_tot, μB/f.u.: 0.00
Space group: R-3
Uncorrected formation energy, meV per atom: -3432
Density of states at the Fermi level, states/eV per atom: 0.000

=====

No. 8
VASP calculation (PBE-GGA) on an optimized crystal structure of LaPmO2.

Cell lengths 7.098, 7.098, 7.098 Å; angles 30.93, 30.93, 30.93 degrees
Fractional coordinates of all 4 atoms:
La (0.000, 0.000, 0.000)
Pm (0.500, 0.500, 0.500)
O (0.114, 0.114, 0.114)
O (0.886, 0.886, 0.886)

Properties
M_tot, μB/f.u.: 0.00
Space group: R-3m
Uncorrected formation energy, meV per atom: -2773
Density of states at the Fermi level, states/eV per atom: 0.283

=====

No. 9
VASP calculation (PBE-GGA) on an optimized crystal structure of LaPmO.

Cell lengths 3.722, 3.722, 6.148 Å; angles 90.00, 90.00, 120.00 degrees
Fractional coordinates of all 3 atoms:
La (0.000, 0.000, 0.000)
Pm (0.333, 0.667, 0.448)
O (0.667, 0.333, 0.233)

Properties
M_tot, μB/f.u.: 0.00
Space group: P3m1
Uncorrected formation energy, meV per atom: -1715
Density of states at the Fermi level, states/eV per atom: 0.667

=====

No. 10
VASP calculation (PBE-GGA) on an optimized crystal structure of LaPmO.

Cell lengths 6.436, 5.856, 7.271 Å; angles 90.00, 90.25, 90.00 degrees
Fractional coordinates of all 12 atoms:
La (0.098, 0.242, 0.130)
La (0.098, 0.258, 0.630)
La (0.902, 0.742, 0.370)
La (0.902, 0.758, 0.870)
Pm (0.404, 0.738, 0.628)
Pm (0.404, 0.762, 0.128)
Pm (0.596, 0.238, 0.872)
Pm (0.596, 0.262, 0.372)
O (0.264, 0.501, 0.372)
O (0.264, 0.999, 0.872)
O (0.736, 0.001, 0.128)
O (0.736, 0.499, 0.628)

Properties
M_tot, μB/f.u.: 0.00
Space group: P2_1/c
Uncorrected formation energy, meV per atom: -1768
Density of states at the Fermi level, states/eV per atom: 1.106

=====

No. 11
VASP calculation (PBE-GGA) on an optimized crystal structure of La3PmO6.

Cell lengths 6.066, 6.280, 10.810 Å; angles 90.00, 124.01, 90.00 degrees
Fractional coordinates of all 20 atoms:
La (0.000, 0.000, 0.000)
La (0.000, 0.500, 0.500)
La (0.231, 0.043, 0.743)
La (0.231, 0.457, 0.243)
La (0.769, 0.543, 0.757)
La (0.769, 0.957, 0.257)
Pm (0.500, 0.000, 0.500)
Pm (0.500, 0.500, 0.000)
O (0.112, 0.179, 0.432)
O (0.112, 0.321, 0.932)
O (0.229, 0.691, 0.413)
O (0.229, 0.809, 0.913)
O (0.404, 0.084, 0.256)
O (0.404, 0.416, 0.756)
O (0.596, 0.584, 0.244)
O (0.596, 0.916, 0.744)
O (0.771, 0.191, 0.087)
O (0.771, 0.309, 0.587)
O (0.888, 0.679, 0.068)
O (0.888, 0.821, 0.568)

Properties
M_tot, μB/f.u.: 0.00
Space group: P2_1/c
Uncorrected formation energy, meV per atom: -3360
Density of states at the Fermi level, states/eV per atom: 0.000

=====

No. 12
VASP calculation (PBE-GGA) on an optimized crystal structure of LaPm3O.

Cell lengths 5.106, 5.106, 5.106 Å; angles 90.00, 90.00, 90.00 degrees
Fractional coordinates of all 5 atoms:
La (0.000, 0.000, 0.000)
Pm (0.000, 0.500, 0.500)
Pm (0.500, 0.000, 0.500)
Pm (0.500, 0.500, 0.000)
O (0.500, 0.500, 0.500)

Properties
M_tot, μB/f.u.: 0.00
Space group: Pm-3m
Uncorrected formation energy, meV per atom: -1058
Density of states at the Fermi level, states/eV per atom: 1.072

=====

Question: The highest M_tot belongs to which entry?
Answer: La2YPdO5

=====

Question: The highest density of states at the Fermi level belongs to which entry?
Answer: La4Pm2O

=====

Question: Which of these has the lowest uncorrected formation energy?
Answer: number 7